VASP calculation (PBE with a Hubbard U) on crystalline ZnCr4Cu3O12 at its relaxed geometry.

Values from the calculation:
For the raw total energy, the calculation gives -6.372 eV/atom. The calculation puts the total moment at 11.02 μB per formula unit.

Geometry as CIF:
```
data_ZnCr4Cu3O12
_chemical_formula_sum 'Zn2 Cr8 Cu6 O24'
_cell_length_a 7.351
_cell_length_b 7.351
_cell_length_c 7.351
_cell_angle_alpha 90.00
_cell_angle_beta 90.00
_cell_angle_gamma 90.00
_space_group_name_H-M_alt 'I m -3'
_space_group_IT_number 204
_space_group_name_Hall '-I 2 2 3'
loop_
_atom_site_label
_atom_site_type_symbol
_atom_site_fract_x
_atom_site_fract_y
_atom_site_fract_z
Zn1 Zn 0.000 0.000 0.000
Cr1 Cr 0.250 0.250 0.250
Cu1 Cu 0.000 0.000 0.500
O1 O 0.000 0.310 0.168
```